A relaxed structure of PrGaAu4. Source: Alexandria, functional PBE.

a = 7.426 Å, b = 7.426 Å, c = 7.346 Å
α = 90.00°, β = 90.00°, γ = 140.02°
Fractional coordinates of all 12 atoms:
Pr: 0.116 0.884 0.750
Pr: 0.884 0.116 0.250
Ga: 0.365 0.635 0.750
Ga: 0.635 0.365 0.250
Au: 0.098 0.902 0.250
Au: 0.288 0.712 0.063
Au: 0.288 0.712 0.437
Au: 0.500 0.500 0.000
Au: 0.500 0.500 0.500
Au: 0.712 0.288 0.563
Au: 0.712 0.288 0.937
Au: 0.902 0.098 0.750

Values from the calculation:
E = -47.0 eV per cell
offset from the most stable computed form = 0.0343 eV/atom
space group = Cmcm (63)
formation energy from the elements = -0.433 eV per atom

=====

A relaxed structure of HgBiTe2. Source: Alexandria, functional PBE.

a = 8.651 Å, b = 8.651 Å, c = 8.651 Å
α = 131.73°, β = 131.73°, γ = 70.66°
Fractional coordinates of all 8 atoms:
Hg: 0.000 0.000 0.000
Hg: 0.750 0.250 0.500
Bi: 0.250 0.750 0.500
Bi: 0.500 0.500 0.000
Te: 0.117 0.625 0.992
Te: 0.375 0.367 0.492
Te: 0.633 0.125 0.008
Te: 0.875 0.883 0.508

Values from the calculation:
E = -20.7 eV per cell
offset from the most stable computed form = 0.1744 eV/atom
E_form (uncorrected) = 0.03 eV per atom
space group = I-42d (122)

=====

A relaxed structure of TaOsBr. Source: Alexandria, functional PBE.

a = 4.413 Å, b = 4.413 Å, c = 3.019 Å
α = 90.00°, β = 90.00°, γ = 120.00°
Fractional coordinates of all 3 atoms:
Ta: 0.000 0.000 0.000
Os: 0.667 0.333 0.477
Br: 0.333 0.667 0.195

Values from the calculation:
E = -22.7 eV per cell
offset from the most stable computed form = 0.5663 eV/atom
E_form (uncorrected) = 0.68 eV per atom
space group = P3m1 (156)

=====

A relaxed structure of SbHCl. Source: Alexandria, functional PBE.

a = 4.716 Å, b = 5.543 Å, c = 7.114 Å
α = 105.91°, β = 97.70°, γ = 111.44°
Fractional coordinates of all 6 atoms:
Sb: 0.114 0.081 0.219
Sb: 0.886 0.919 0.781
H: 0.488 0.129 0.185
H: 0.512 0.871 0.815
Cl: 0.249 0.572 0.275
Cl: 0.751 0.428 0.725

Values from the calculation:
E = -20.0 eV per cell
offset from the most stable computed form = 0.0563 eV/atom
space group = P-1 (2)

=====

A relaxed structure of La5Pr2Tl4. Source: Alexandria, functional PBE.

a = 12.742 Å, b = 12.742 Å, c = 12.742 Å
α = 163.30°, β = 140.15°, γ = 43.48°
Fractional coordinates of all 11 atoms:
La: 0.000 0.000 0.000
La: 0.059 0.360 0.700
La: 0.340 0.640 0.700
La: 0.660 0.360 0.300
La: 0.941 0.640 0.300
Pr: 0.272 0.772 0.500
Pr: 0.728 0.228 0.500
Tl: 0.316 0.500 0.816
Tl: 0.408 0.908 0.500
Tl: 0.592 0.092 0.500
Tl: 0.684 0.500 0.184

Values from the calculation:
E = -43.9 eV per cell
offset from the most stable computed form = 0.2281 eV/atom
space group = Immm (71)
formation energy from the elements = -0.020 eV per atom

=====

Q: Which formula does entry 4 have?
A: SbHCl

=====

Q: What is the offset from the most stable computed form in the fourth record?
A: 0.0563 eV/atom

=====

Q: E of number 2 (HgBiTe2)?
A: -20.7 eV per cell

=====

Please write out number 5 again, unchanged.
A relaxed structure of La5Pr2Tl4. Source: Alexandria, functional PBE.

a = 12.742 Å, b = 12.742 Å, c = 12.742 Å
α = 163.30°, β = 140.15°, γ = 43.48°
Fractional coordinates of all 11 atoms:
La: 0.000 0.000 0.000
La: 0.059 0.360 0.700
La: 0.340 0.640 0.700
La: 0.660 0.360 0.300
La: 0.941 0.640 0.300
Pr: 0.272 0.772 0.500
Pr: 0.728 0.228 0.500
Tl: 0.316 0.500 0.816
Tl: 0.408 0.908 0.500
Tl: 0.592 0.092 0.500
Tl: 0.684 0.500 0.184

Values from the calculation:
E = -43.9 eV per cell
offset from the most stable computed form = 0.2281 eV/atom
space group = Immm (71)
formation energy from the elements = -0.020 eV per atom